No. 1
A plane-wave DFT calculation with GGA-PBE was carried out for a relaxed structure of LiTmGa4Pd2.

a = 4.3065 Å, b = 4.3065 Å, c = 25.0198 Å
α = 90.00°, β = 90.00°, γ = 120.00°
Space group R-3m (No. 166, hexagonal axes)
One atom of each set of equivalent atoms:
Li (0.0000, 0.0000, 0.0000)
Tm (0.0000, 0.0000, 0.5000)
Ga (0.0000, 0.0000, 0.1046)
Ga (0.0000, 0.0000, 0.3711)
Pd (0.0000, 0.0000, 0.2624)

Output
DFT formation energy = -0.60 eV/atom
size of the total moment = 0.00 Bohr magnetons per cell

---

No. 2
A plane-wave DFT calculation with GGA-PBE was carried out for a relaxed structure of CoCuAg2S.

a = 4.805 Å, b = 4.805 Å, c = 4.408 Å
α = 90.00°, β = 90.00°, γ = 90.00°
Space group P4/mmm (No. 123)
One atom of each set of equivalent atoms:
Co (0.000, 0.000, 0.000)
Cu (0.000, 0.000, 0.500)
Ag (0.000, 0.500, 0.000)
S (0.500, 0.500, 0.500)

Output
energy = -15.7 eV/cell
size of the total moment = 2.00 Bohr magnetons per cell